No. 1
Entry from OQMD: a relaxed structure of LuSi2 (PBE).

a = 13.0955 Å, b = 13.0955 Å, c = 13.0955 Å
α = 90.00°, β = 90.00°, γ = 90.00°
Last column: nearest neighbours and their distance in Å.
Space group Fd-3m (No. 227, origin choice 2)
One atom of each set of equivalent atoms:
Lu 0.1250 0.1250 0.1250 x8  4 Si 2.84
Si 0.0000 0.0000 0.0000 x16  2 Lu 2.84

Output
**Total magnetic moment**: 3.0 μB/f.u.

=====

No. 2
Entry from OQMD: a relaxed structure of CdCu2Cl4 (PBE).

a = 5.4469 Å, b = 5.4469 Å, c = 5.7039 Å
α = 90.00°, β = 90.00°, γ = 90.00°
Last column: nearest neighbours and their distance in Å.
Space group P-42m (No. 111)
One atom of each set of equivalent atoms:
Cd 0.0000 0.0000 0.0000 x1  4 Cl 2.52
Cu 0.0000 0.5000 0.5000 x2  4 Cl 2.34
Cl 0.2597 0.2597 0.2686 x4  2 Cu 2.34, 1 Cd 2.52

=====

Record-wise theoretical density values, in g cm⁻³: 1.37, 3.74
Record-wise E_tot values, in eV/cell: -79.4, -20.4